[1]
A relaxed structure of ScAlNi2H, computed with GGA-PBE.

The space group is P4/mmm (No. 123) and the conventional cell measures 3.928, 3.928 and 3.855 Å, with angles of 90.00, 90.00 and 90.00 degrees. The distinct sites, in fractional coordinates, are Sc at (0.000, 0.000, 0.000), Al at (0.500, 0.500, 0.000), Ni at (0.000, 0.500, 0.500) and H at (0.000, 0.000, 0.500).

Its calculated total energy is -5.32 eV/atom. Its volume is 11.9 Å³ per atom. The distance to the lowest polymorph of the same formula comes out at 202 meV per atom.

=====

[2]
A relaxed structure of TaRhC3, computed with GGA-PBE.

The space group is Pm-3m (No. 221) and the conventional cell measures 4.117, 4.117 and 4.117 Å, with angles of 90.00, 90.00 and 90.00 degrees. The distinct sites, in fractional coordinates, are Ta at (0.000, 0.000, 0.000), Rh at (0.500, 0.500, 0.500) and C at (0.000, 0.000, 0.500).

Its calculated total energy is -7.26 eV/atom. Its volume is 14.0 Å³ per atom. The formation energy is 2.119 eV/atom. The distance to the lowest polymorph of the same formula comes out at 0 meV per atom.

=====

[3]
A relaxed structure of CuP3Pt, computed with GGA-PBE.

The space group is Pm-3m (No. 221) and the conventional cell measures 4.403, 4.403 and 4.403 Å, with angles of 90.00, 90.00 and 90.00 degrees. The distinct sites, in fractional coordinates, are Cu at (0.000, 0.000, 0.000), P at (0.000, 0.000, 0.500) and Pt at (0.500, 0.500, 0.500).

Its calculated total energy is -4.33 eV/atom. Its volume is 17.1 Å³ per atom. The formation energy is 0.943 eV/atom. The distance to the lowest polymorph of the same formula comes out at 0 meV per atom.

=====

[4]
A relaxed structure of GaH3, computed with GGA-PBE.

The space group is Pmmm (No. 47) and the conventional cell measures 2.659, 3.653 and 4.220 Å, with angles of 90.00, 90.00 and 90.00 degrees. The distinct sites, in fractional coordinates, are Ga at (0.000, 0.000, 0.000), H at (0.000, 0.500, 0.000) and H at (0.500, 0.394, 0.500).

Its calculated total energy is -2.99 eV/atom. Its volume is 10.2 Å³ per atom.

=====

[5]
A relaxed structure of CdPS2N, computed with GGA-PBE.

The space group is P4/mmm (No. 123) and the conventional cell measures 5.051, 5.051 and 4.123 Å, with angles of 90.00, 90.00 and 90.00 degrees. The distinct sites, in fractional coordinates, are Cd at (0.000, 0.000, 0.000), P at (0.500, 0.500, 0.500), S at (0.000, 0.500, 0.000) and N at (0.000, 0.000, 0.500).

Its calculated total energy is -2.99 eV/atom. Its volume is 21.0 Å³ per atom. The calculation puts the formation energy without anion corrections at 1.59 eV/atom. The distance to the lowest polymorph of the same formula comes out at 1224 meV per atom.